Material: BaCa2Sb
Method: DFT, PBE
State: relaxed

The calculated total energy comes out at -2.902 eV/atom. As for the crystal system: tetragonal. For the raw formation energy, the calculation gives -0.389 eV/atom.

The space group is I4/mmm (No. 139) and the conventional cell measures 5.0975, 5.0975 and 11.5042 Å, with angles of 90.00, 90.00 and 90.00 degrees. The asymmetric unit holds Ba at (0.0000, 0.0000, 0.0000), Ca at (0.0000, 0.5000, 0.2500) and Sb at (0.0000, 0.0000, 0.5000).



Material: BaCaSb2
Method: DFT, PBE
State: relaxed

The calculated total energy comes out at -3.651 eV/atom. The energy above the most stable polymorph in this dataset comes out at 0.235 eV per atom. As for the crystal system: tetragonal. For the raw formation energy, the calculation gives -0.608 eV/atom.

The space group is P4/mmm (No. 123) and the conventional cell measures 4.8147, 4.8147 and 6.7103 Å, with angles of 90.00, 90.00 and 90.00 degrees. The asymmetric unit holds Ba at (0.0000, 0.0000, 0.0000), Ca at (0.5000, 0.5000, 0.5000), Sb at (0.0000, 0.0000, 0.5000) and Sb at (0.5000, 0.5000, 0.0000).



Material: BaCa2Sb2
Method: DFT, PBE
State: relaxed

The calculated total energy comes out at -3.760 eV/atom. The energy above the most stable polymorph in this dataset comes out at 0.134 eV per atom. As for the crystal system: tetragonal. For the raw formation energy, the calculation gives -0.925 eV/atom.

The space group is I4/mmm (No. 139) and the conventional cell measures 5.0260, 5.0260 and 14.8012 Å, with angles of 90.00, 90.00 and 90.00 degrees. The asymmetric unit holds Ba at (0.0000, 0.0000, 0.0000), Ca at (0.0000, 0.5000, 0.2500) and Sb at (0.0000, 0.0000, 0.3768).



Material: BaCa2Sb
Method: DFT, PBE
State: relaxed

The calculated total energy comes out at -2.831 eV/atom. As for the crystal system: cubic. For the raw formation energy, the calculation gives -0.319 eV/atom.

The space group is F-43m (No. 216) and the conventional cell measures 8.3681, 8.3681 and 8.3681 Å, with angles of 90.00, 90.00 and 90.00 degrees. The asymmetric unit holds Ba at (0.0000, 0.0000, 0.0000), Ca at (0.0000, 0.0000, 0.5000), Ca at (0.2500, 0.2500, 0.2500) and Sb at (0.2500, 0.2500, 0.7500).